# Dy2ThSe6 (PBE-GGA, relaxed)
data_Dy2ThSe6
_chemical_formula_sum 'Dy4 Th2 Se12'
_cell_length_a 13.291
_cell_length_b 5.690
_cell_length_c 9.316
_cell_angle_alpha 90.00
_cell_angle_beta 129.18
_cell_angle_gamma 90.00
_space_group_name_H-M_alt 'C 1 2/m 1'
_space_group_IT_number 12
loop_
_space_group_symop_operation_xyz
'x,y,z'
'-x,-y,-z'
'-x,y,-z'
'x,-y,z'
'x+1/2,y+1/2,z'
'-x+1/2,-y+1/2,-z'
'-x+1/2,y+1/2,-z'
'x+1/2,-y+1/2,z'
loop_
_atom_site_label
_atom_site_type_symbol
_atom_site_fract_x
_atom_site_fract_y
_atom_site_fract_z
Dy1 Dy 0.177 0.000 0.078
Th1 Th 0.000 0.000 0.500
Se1 Se 0.072 0.000 0.260
Se2 Se 0.100 0.500 0.521
Se3 Se 0.234 0.500 0.132
# ρ	6.3	g/cm3
# electronic total energy	-0.2105	hartree per atom
# energy relative to the elements, uncorrected	-1557	meV/atom